Below is an optimized crystal structure of PmVCo2O8, with properties calculated at the PBE+U level.

Cell lengths 5.7457, 5.7457, 5.9923 Å; angles 90.00, 90.00, 120.00 degrees
With the nearest neighbours (Å) after each atom.
Fractional positions:
Pm (0.0000, 0.0000, 0.5000)  6 O 2.37
V (0.0000, 0.0000, 0.0000)  6 O 1.92
Co (0.6667, 0.3333, 0.8904)  4 O 1.70-1.87
Co (0.3333, 0.6667, 0.1096)  4 O 1.70-1.87
O (0.8475, 0.6950, 0.8037)  1 Co 1.87, 1 V 1.92
O (0.3050, 0.1525, 0.8037)  1 Co 1.87, 1 V 1.92
O (0.8475, 0.1525, 0.8037)  1 Co 1.87, 1 V 1.92
O (0.1525, 0.3050, 0.1963)  1 Co 1.87, 1 V 1.92
O (0.6950, 0.8475, 0.1963)  1 Co 1.87, 1 V 1.92
O (0.1525, 0.8475, 0.1963)  1 Co 1.87, 1 V 1.92
O (0.6667, 0.3333, 0.1743)  1 Co 1.70
O (0.3333, 0.6667, 0.8257)  1 Co 1.70

Computed properties:
VASP energy = -6.4996 eV/atom
Space group = P-3m1, No. 164
Total moment = 0.83 μB/atom